[1]
Compound: AcCdRh2
Source: the Alexandria database
Functional: PBE-GGA
Structure: relaxed

The value obtained for the magnetic moment is 0.0 Bohr magnetons per cell. For the formation energy, the calculation gives -183 meV/atom. The calculation puts the polymorph energy (0 for the lowest one) at 219 meV per atom.

The space group is Pmma (No. 51) and the conventional cell measures 5.583, 4.965 and 15.610 Å, with angles of 90.00, 90.00 and 90.00 degrees. The asymmetric unit holds Ac at (0.250, 0.000, 0.085), Ac at (0.250, 0.500, 0.403), Cd at (0.250, 0.000, 0.767), Cd at (0.250, 0.500, 0.849), Rh at (0.000, 0.000, 0.500), Rh at (0.000, 0.500, 0.000) and Rh at (0.250, 0.259, 0.617).


[2]
Compound: AcCdRh2
Source: the Alexandria database
Functional: PBE-GGA
Structure: relaxed

The value obtained for the magnetic moment is 0.0 Bohr magnetons per cell. For the formation energy, the calculation gives -401 meV/atom. The calculation puts the polymorph energy (0 for the lowest one) at 1 meV per atom.

The space group is R-3m (No. 166, hexagonal axes) and the conventional cell measures 4.7489, 4.7489 and 14.4793 Å, with angles of 90.00, 90.00 and 120.00 degrees. The asymmetric unit holds Ac at (0.0000, 0.0000, 0.0000), Cd at (0.0000, 0.0000, 0.5000) and Rh at (0.0000, 0.0000, 0.1919).


[3]
Compound: Ac6Cd2Rh3
Source: the Alexandria database
Functional: PBE-GGA
Structure: relaxed

The value obtained for the magnetic moment is 0.0 Bohr magnetons per cell. For the formation energy, the calculation gives -486 meV/atom.

The space group is C2/m (No. 12) and the conventional cell measures 7.478, 12.950 and 8.718 Å, with angles of 90.00, 106.81 and 90.00 degrees. The asymmetric unit holds Ac at (0.231, 0.169, 0.197), Ac at (0.236, 0.500, 0.194), Cd at (0.000, 0.165, 0.500), Rh at (0.000, 0.000, 0.000) and Rh at (0.000, 0.333, 0.000).


Look up the magnetic moment of the second one. 0.0 Bohr magnetons per cell